No. 1
Compound: DyPu2USb4
Source: Alexandria
Functional: GGA-PBE
Structure: relaxed

The formation energy from raw total energies comes out at -0.64 eV/atom.

The space group is P2/m (No. 10) and the conventional cell measures 7.592, 4.390 and 7.672 Å, with angles of 90.00, 109.22 and 90.00 degrees. The inequivalent atoms are Dy at (0.000, 0.000, 0.000), Pu at (0.500, 0.000, 0.500), Pu at (0.500, 0.500, 0.000), U at (0.000, 0.500, 0.500), Sb at (0.246, 0.000, 0.748) and Sb at (0.247, 0.500, 0.250).

No. 2
Compound: RbCaO2F
Source: Alexandria
Functional: GGA-PBE
Structure: relaxed

The formation energy from raw total energies comes out at -0.89 eV/atom.

The space group is P4/mmm (No. 123) and the conventional cell measures 4.382, 4.382 and 4.788 Å, with angles of 90.00, 90.00 and 90.00 degrees. The inequivalent atoms are Rb at (0.000, 0.000, 0.000), Ca at (0.500, 0.500, 0.500), O at (0.000, 0.500, 0.000) and F at (0.000, 0.000, 0.500).

No. 3
Compound: NaNi
Source: Alexandria
Functional: GGA-PBE
Structure: relaxed

The calculated formation energy is 0.39 eV/atom.

The space group is P4/mmm (No. 123) and the conventional cell measures 10.610, 10.610 and 2.619 Å, with angles of 90.00, 90.00 and 90.00 degrees. The inequivalent atoms are Na at (0.000, 0.227, 0.000), Na at (0.163, 0.500, 0.500), Ni at (0.257, 0.257, 0.500) and Ni at (0.390, 0.390, 0.000).

No. 4
Compound: Pm12Si6Sn
Source: Alexandria
Functional: GGA-PBE
Structure: relaxed

The formation energy from raw total energies comes out at -0.57 eV/atom.

The space group is Im-3 (No. 204) and the conventional cell measures 10.200, 10.200 and 10.200 Å, with angles of 90.00, 90.00 and 90.00 degrees. The inequivalent atoms are Pm at (0.000, 0.297, 0.188), Si at (0.000, 0.115, 0.500) and Sn at (0.000, 0.000, 0.000).

No. 5
Compound: Er2CdNi
Source: Alexandria
Functional: GGA-PBE
Structure: relaxed

The calculated formation energy is -0.39 eV/atom.

The space group is P4/mmm (No. 123) and the conventional cell measures 3.419, 3.419 and 7.566 Å, with angles of 90.00, 90.00 and 90.00 degrees. The inequivalent atoms are Er at (0.000, 0.000, 0.212), Cd at (0.500, 0.500, 0.500) and Ni at (0.500, 0.500, 0.000).

No. 6
Compound: CdPRh2
Source: Alexandria
Functional: GGA-PBE
Structure: relaxed

The calculated formation energy is -0.41 eV/atom.

The space group is R-3m (No. 166, hexagonal axes) and the conventional cell measures 3.5193, 3.5193 and 18.9920 Å, with angles of 90.00, 90.00 and 120.00 degrees. The inequivalent atoms are Cd at (0.0000, 0.0000, 0.0000), P at (0.0000, 0.0000, 0.5000) and Rh at (0.0000, 0.0000, 0.2232).

No. 7
Compound: NaSmTlAu
Source: Alexandria
Functional: GGA-PBE
Structure: relaxed

The calculated formation energy is -0.38 eV/atom.

The space group is F-43m (No. 216) and the conventional cell measures 7.355, 7.355 and 7.355 Å, with angles of 90.00, 90.00 and 90.00 degrees. The inequivalent atoms are Na at (0.000, 0.000, 0.000), Sm at (0.000, 0.000, 0.500), Tl at (0.250, 0.250, 0.250) and Au at (0.250, 0.250, 0.750).

No. 8
Compound: BeAsAu
Source: Alexandria
Functional: GGA-PBE
Structure: relaxed

The calculated formation energy is 0.38 eV/atom.

The space group is P6_3/mmc (No. 194) and the conventional cell measures 4.0439, 4.0439 and 8.3089 Å, with angles of 90.00, 90.00 and 120.00 degrees. The inequivalent atoms are Be at (0.0000, 0.0000, 0.2500), As at (0.0000, 0.0000, 0.0000) and Au at (0.3333, 0.6667, 0.2500).

no.,E (eV/f.u.)
1,-66.14
2,-19.23
3,-6.33
4,-104.43
5,-17.38
6,-22.67
7,-13.20
8,-10.52